# 1
Computed, not measured: a relaxed KBe2Cr crystal at the PBE level of DFT.

Results
As for the density of states at the Fermi level: 1.38 states/eV/f.u. For the energy of formation, the calculation gives 0.601 eV per atom. The energy above the most stable polymorph in this dataset comes out at 0.000 eV/atom.

a = 3.023 Å, b = 3.014 Å, c = 7.837 Å
α = 67.35°, β = 90.00°, γ = 90.00°
Last column: magnetic moment on the atom in μB.
Positions (direct):
Be (0.000, 0.605, 0.395)  -0.06
Be (0.000, 0.895, 0.105)  -0.06
K (0.500, 0.750, 0.750)  -0.05
Cr (0.500, 0.250, 0.250)  2.20

# 2
Computed, not measured: a relaxed K2ScIr crystal at the PBE level of DFT.

Results
As for the density of states at the Fermi level: 3.93 states/eV/f.u. For the energy of formation, the calculation gives 0.781 eV per atom. The energy above the most stable polymorph in this dataset comes out at 0.767 eV/atom.

a = 6.440 Å, b = 6.440 Å, c = 3.324 Å
α = 90.00°, β = 90.00°, γ = 129.68°
Last column: magnetic moment on the atom in μB.
Positions (direct):
Sc (0.500, 0.000, 0.500)  0.21
K (0.000, 0.000, 0.000)  0.03
K (0.500, 0.500, 0.000)  0.03
Ir (0.000, 0.500, 0.500)  -0.01

# 3
Computed, not measured: a relaxed YW2S2 crystal at the PBE level of DFT.

Results
As for the density of states at the Fermi level: 4.23 states/eV/f.u. The energy above the most stable polymorph in this dataset comes out at 0.341 eV/atom.

a = 7.374 Å, b = 7.374 Å, c = 3.090 Å
α = 90.00°, β = 90.00°, γ = 90.00°
Positions (direct):
Y (0.000, 0.000, 0.000)
Y (0.500, 0.500, 0.000)
W (0.878, 0.378, 0.500)
W (0.622, 0.878, 0.500)
W (0.122, 0.622, 0.500)
W (0.378, 0.122, 0.500)
S (0.162, 0.338, 0.000)
S (0.838, 0.662, 0.000)
S (0.338, 0.838, 0.000)
S (0.662, 0.162, 0.000)

# 4
Computed, not measured: a relaxed CsRb2BeAs2 crystal at the PBE level of DFT.

Results
As for the density of states at the Fermi level: 2.02 states/eV/f.u. For the energy of formation, the calculation gives -0.211 eV per atom.

a = 7.499 Å, b = 8.454 Å, c = 9.263 Å
α = 117.15°, β = 113.88°, γ = 90.00°
Positions (direct):
Rb (0.687, 0.870, 0.375)
Rb (0.313, 0.130, 0.625)
Rb (0.187, 0.505, 0.375)
Rb (0.813, 0.495, 0.625)
As (0.553, 0.417, 0.105)
As (0.947, 0.312, 0.895)
As (0.053, 0.688, 0.105)
As (0.447, 0.583, 0.895)
Cs (0.250, 0.000, 0.000)
Cs (0.750, 0.000, 0.000)
Be (0.250, 0.500, 0.000)
Be (0.750, 0.500, 0.000)

# 5
Computed, not measured: a relaxed PaOsAuO6 crystal at the PBE level of DFT.

Results
As for the density of states at the Fermi level: 3.21 states/eV/f.u. As for the raw total energy: -136.5 eV per cell.

a = 5.545 Å, b = 5.545 Å, c = 9.525 Å
α = 90.00°, β = 90.00°, γ = 120.00°
Last column: magnetic moment on the atom in μB.
Positions (direct):
O (0.029, 0.650, 0.863)  0.05
O (0.379, 0.350, 0.363)  0.05
O (0.379, 0.029, 0.137)  0.05
O (0.650, 0.621, 0.137)  0.05
O (0.350, 0.971, 0.637)  0.05
O (0.650, 0.029, 0.363)  0.05
O (0.029, 0.379, 0.637)  0.05
O (0.621, 0.650, 0.637)  0.05
O (0.971, 0.621, 0.363)  0.05
O (0.350, 0.379, 0.863)  0.05
O (0.971, 0.350, 0.137)  0.05
O (0.621, 0.971, 0.863)  0.05
Os (0.667, 0.333, 0.250)  0.86
Os (0.333, 0.667, 0.750)  0.86
Pa (0.333, 0.667, 0.250)  0.10
Pa (0.667, 0.333, 0.750)  0.10
Au (0.000, 0.000, 0.000)  -0.02
Au (0.000, 0.000, 0.500)  -0.02

# 6
Computed, not measured: a relaxed Zn3SbPb crystal at the PBE level of DFT.

Results
As for the density of states at the Fermi level: 3.52 states/eV/f.u. The energy above the most stable polymorph in this dataset comes out at 0.000 eV/atom.

a = 5.234 Å, b = 5.234 Å, c = 5.234 Å
α = 90.00°, β = 90.00°, γ = 90.00°
Positions (direct):
Pb (0.500, 0.500, 0.500)
Zn (0.000, 0.500, 0.000)
Zn (0.000, 0.000, 0.500)
Zn (0.500, 0.000, 0.000)
Sb (0.000, 0.000, 0.000)

# 7
Computed, not measured: a relaxed PrNd5Dy12 crystal at the PBE level of DFT.

Results
As for the density of states at the Fermi level: 28.61 states/eV/f.u. For the energy of formation, the calculation gives 0.098 eV per atom.

a = 11.441 Å, b = 10.403 Å, c = 5.986 Å
α = 90.01°, β = 90.02°, γ = 56.64°
Positions (direct):
Dy (0.655, 0.333, 0.054)
Dy (0.511, 0.333, 0.554)
Dy (0.178, 0.000, 0.552)
Dy (0.845, 0.667, 0.554)
Dy (0.345, 0.667, 0.946)
Dy (0.155, 0.333, 0.446)
Dy (0.012, 0.333, 0.946)
Dy (0.677, 0.000, 0.947)
Dy (0.323, 0.000, 0.053)
Dy (0.489, 0.667, 0.446)
Dy (0.822, 0.000, 0.448)
Dy (0.988, 0.667, 0.054)
Nd (0.833, 0.334, 0.500)
Nd (0.500, 0.000, 0.500)
Nd (0.667, 0.666, 0.000)
Nd (0.333, 0.334, 0.000)
Nd (0.167, 0.666, 0.500)
Pr (0.000, 0.000, 0.000)

# 8
Computed, not measured: a relaxed KLaBr2 crystal at the PBE level of DFT.

Results
As for the density of states at the Fermi level: 2.18 states/eV/f.u. The energy above the most stable polymorph in this dataset comes out at 0.075 eV/atom.

a = 3.757 Å, b = 4.068 Å, c = 8.903 Å
α = 89.98°, β = 90.00°, γ = 90.00°
Last column: magnetic moment on the atom in μB.
Positions (direct):
K (0.500, 0.250, 0.250)  0.00
Br (0.000, 0.749, 0.470)  0.00
Br (0.000, 0.751, 0.030)  0.00
La (0.500, 0.750, 0.750)  0.12

# 9
Computed, not measured: a relaxed Ba2TaCrSe6 crystal at the PBE level of DFT.

Results
As for the density of states at the Fermi level: 1.65 states/eV/f.u. As for the raw total energy: -115.8 eV per cell.

a = 7.166 Å, b = 7.166 Å, c = 12.765 Å
α = 73.70°, β = 73.70°, γ = 60.00°
Last column: magnetic moment on the atom in μB.
Positions (direct):
Se (0.210, 0.210, 0.877)  0.01
Se (0.377, 0.876, 0.370)  -0.04
Se (0.296, 0.790, 0.123)  0.01
Se (0.623, 0.623, 0.630)  -0.04
Se (0.377, 0.377, 0.370)  -0.04
Se (0.124, 0.623, 0.630)  -0.04
Se (0.623, 0.124, 0.630)  -0.04
Se (0.876, 0.377, 0.370)  -0.04
Se (0.790, 0.790, 0.123)  0.01
Se (0.790, 0.296, 0.123)  0.01
Se (0.210, 0.704, 0.877)  0.01
Se (0.704, 0.210, 0.877)  0.01
Ta (0.500, 0.500, 0.500)  0.06
Ta (0.000, 0.000, 0.000)  0.00
Ba (0.296, 0.296, 0.111)  0.01
Ba (0.117, 0.117, 0.648)  0.00
Ba (0.704, 0.704, 0.889)  0.01
Ba (0.883, 0.883, 0.352)  0.00
Cr (0.417, 0.417, 0.749)  2.80
Cr (0.583, 0.583, 0.251)  2.80

# 10
Computed, not measured: a relaxed BaY2I crystal at the PBE level of DFT.

Results
As for the density of states at the Fermi level: 5.69 states/eV/f.u. The energy above the most stable polymorph in this dataset comes out at 0.286 eV/atom.

a = 5.822 Å, b = 5.822 Å, c = 5.822 Å
α = 60.00°, β = 60.00°, γ = 60.00°
Positions (direct):
Y (0.750, 0.750, 0.750)
Y (0.250, 0.250, 0.250)
Ba (0.500, 0.500, 0.500)
I (0.000, 0.000, 0.000)

# 11
Computed, not measured: a relaxed YHo2Ni crystal at the PBE level of DFT.

Results
As for the density of states at the Fermi level: 6.15 states/eV/f.u. For the energy of formation, the calculation gives 0.072 eV per atom. The energy above the most stable polymorph in this dataset comes out at 0.326 eV/atom.

a = 3.568 Å, b = 3.568 Å, c = 10.510 Å
α = 80.23°, β = 80.23°, γ = 60.00°
Last column: magnetic moment on the atom in μB.
Positions (direct):
Ho (0.111, 0.111, 0.666)  0.02
Ho (0.889, 0.889, 0.334)  0.02
Ni (0.500, 0.500, 0.500)  0.00
Y (0.000, 0.000, 0.000)  0.14

# 12
Computed, not measured: a relaxed AcMnSi2Pt5 crystal at the PBE level of DFT.

Results
As for the density of states at the Fermi level: 2.85 states/eV/f.u. As for the raw total energy: -60.6 eV per cell.

a = 4.172 Å, b = 4.172 Å, c = 10.268 Å
α = 90.00°, β = 90.00°, γ = 90.00°
Last column: magnetic moment on the atom in μB.
Positions (direct):
Pt (0.500, 0.000, 0.158)  0.10
Pt (0.000, 0.500, 0.842)  0.10
Pt (0.500, 0.000, 0.842)  0.10
Pt (0.500, 0.500, 0.500)  0.01
Pt (0.000, 0.500, 0.158)  0.10
Mn (0.000, 0.000, 0.000)  3.78
Si (0.500, 0.500, 0.269)  -0.01
Si (0.500, 0.500, 0.731)  -0.01
Ac (0.000, 0.000, 0.500)  0.02

# 13
Computed, not measured: a relaxed NaLi2F3 crystal at the PBE level of DFT.

Results
As for the density of states at the Fermi level: 0.00 states/eV/f.u. The energy above the most stable polymorph in this dataset comes out at 0.042 eV/atom.

a = 3.051 Å, b = 5.486 Å, c = 8.350 Å
α = 90.00°, β = 90.00°, γ = 106.15°
Positions (direct):
Li (0.000, 0.000, 0.000)
Li (0.502, 0.005, 0.750)
Li (0.000, 0.000, 0.500)
Li (0.498, 0.995, 0.250)
F (0.903, 0.806, 0.250)
F (0.609, 0.218, 0.083)
F (0.391, 0.782, 0.583)
F (0.097, 0.194, 0.750)
F (0.391, 0.782, 0.917)
F (0.609, 0.218, 0.417)
Na (0.767, 0.535, 0.750)
Na (0.233, 0.465, 0.250)

# 14
Computed, not measured: a relaxed YTiRe2Pb crystal at the PBE level of DFT.

Results
As for the density of states at the Fermi level: 5.64 states/eV/f.u. For the energy of formation, the calculation gives 2.258 eV per atom.

a = 4.943 Å, b = 4.891 Å, c = 4.943 Å
α = 90.00°, β = 90.00°, γ = 90.00°
Last column: magnetic moment on the atom in μB.
Positions (direct):
Re (0.000, 0.000, 0.500)  0.85
Re (0.500, 0.000, 0.000)  0.85
Pb (0.500, 0.500, 0.500)  0.01
Y (0.000, 0.000, 0.000)  -0.04
Ti (0.000, 0.500, 0.000)  -0.39

# 15
Computed, not measured: a relaxed ZnHPd6Pb2 crystal at the PBE level of DFT.

Results
As for the density of states at the Fermi level: 2.21 states/eV/f.u. As for the raw total energy: -45.5 eV per cell.

a = 5.721 Å, b = 6.803 Å, c = 6.969 Å
α = 47.72°, β = 65.85°, γ = 90.04°
Positions (direct):
Pd (0.319, 0.791, 0.855)
Pd (0.173, 0.210, 0.146)
Pd (0.827, 0.790, 0.854)
Pd (0.291, 0.336, 0.419)
Pd (0.681, 0.209, 0.145)
Pd (0.709, 0.664, 0.581)
Zn (0.000, 0.000, 0.000)
Pb (0.762, 0.321, 0.476)
Pb (0.238, 0.679, 0.524)
H (0.500, 0.500, 0.000)

# 16
Computed, not measured: a relaxed Mg3Sn5Au12 crystal at the PBE level of DFT.

Results
As for the density of states at the Fermi level: 4.63 states/eV/f.u. For the energy of formation, the calculation gives -0.105 eV per atom.

a = 13.766 Å, b = 13.766 Å, c = 13.766 Å
α = 109.47°, β = 109.47°, γ = 109.47°
Positions (direct):
Au (0.231, 0.661, 0.084)
Au (0.577, 0.647, 0.416)
Au (0.731, 0.584, 0.161)
Au (0.647, 0.070, 0.231)
Au (0.269, 0.853, 0.930)
Au (0.570, 0.339, 0.923)
Au (0.077, 0.161, 0.430)
Au (0.923, 0.084, 0.853)
Au (0.647, 0.577, 0.916)
Au (0.930, 0.577, 0.161)
Au (0.731, 0.147, 0.070)
Au (0.353, 0.423, 0.084)
Au (0.416, 0.147, 0.577)
Au (0.070, 0.647, 0.731)
Au (0.339, 0.769, 0.416)
Au (0.584, 0.853, 0.423)
Au (0.339, 0.570, 0.423)
Au (0.839, 0.916, 0.269)
Au (0.161, 0.084, 0.731)
Au (0.430, 0.769, 0.853)
Au (0.930, 0.353, 0.269)
Au (0.923, 0.839, 0.570)
Au (0.084, 0.161, 0.231)
Au (0.916, 0.839, 0.769)
Au (0.853, 0.269, 0.430)
Au (0.430, 0.661, 0.077)
Au (0.839, 0.923, 0.070)
Au (0.269, 0.416, 0.839)
Au (0.353, 0.930, 0.769)
Au (0.853, 0.584, 0.923)
Au (0.423, 0.353, 0.584)
Au (0.231, 0.570, 0.647)
Au (0.661, 0.231, 0.584)
Au (0.147, 0.731, 0.570)
Au (0.769, 0.339, 0.916)
Au (0.070, 0.423, 0.839)
Au (0.077, 0.916, 0.147)
Au (0.084, 0.923, 0.353)
Au (0.416, 0.269, 0.339)
Au (0.661, 0.430, 0.577)
Au (0.147, 0.416, 0.077)
Au (0.769, 0.430, 0.353)
Au (0.584, 0.731, 0.661)
Au (0.423, 0.070, 0.339)
Au (0.161, 0.077, 0.930)
Au (0.570, 0.231, 0.147)
Au (0.916, 0.077, 0.647)
Au (0.577, 0.930, 0.661)
Mg (0.875, 0.750, 0.125)
Mg (0.375, 0.750, 0.625)
Mg (0.125, 0.250, 0.875)
Mg (0.625, 0.250, 0.375)
Mg (0.625, 0.375, 0.750)
Mg (0.125, 0.875, 0.750)
Mg (0.375, 0.625, 0.250)
Mg (0.250, 0.625, 0.875)
Mg (0.750, 0.375, 0.125)
Mg (0.250, 0.125, 0.375)
Mg (0.750, 0.875, 0.625)
Mg (0.875, 0.125, 0.250)
Sn (0.750, 0.625, 0.375)
Sn (0.125, 0.375, 0.250)
Sn (0.750, 0.125, 0.875)
Sn (0.875, 0.625, 0.750)
Sn (0.500, 0.000, 0.500)
Sn (0.625, 0.875, 0.250)
Sn (0.000, 0.000, 0.000)
Sn (0.625, 0.750, 0.875)
Sn (0.000, 0.500, 0.000)
Sn (0.500, 0.500, 0.000)
Sn (0.375, 0.125, 0.750)
Sn (0.000, 0.000, 0.500)
Sn (0.000, 0.500, 0.500)
Sn (0.250, 0.375, 0.625)
Sn (0.125, 0.750, 0.375)
Sn (0.250, 0.875, 0.125)
Sn (0.875, 0.250, 0.625)
Sn (0.500, 0.000, 0.000)
Sn (0.500, 0.500, 0.500)
Sn (0.375, 0.250, 0.125)

# 17
Computed, not measured: a relaxed ZnGe2F8 crystal at the PBE level of DFT.

Results
As for the density of states at the Fermi level: 1.48 states/eV/f.u. As for the raw total energy: -48.0 eV per cell.

a = 5.049 Å, b = 5.500 Å, c = 5.500 Å
α = 78.87°, β = 100.98°, γ = 100.98°
Positions (direct):
F (0.266, 0.446, 0.446)
F (0.704, 0.035, 0.671)
F (0.296, 0.329, 0.965)
F (0.734, 0.554, 0.554)
F (0.207, 0.827, 0.827)
F (0.704, 0.671, 0.035)
F (0.793, 0.173, 0.173)
F (0.296, 0.965, 0.329)
Ge (0.463, 0.694, 0.694)
Ge (0.537, 0.306, 0.306)
Zn (0.000, 0.000, 0.000)

# 18
Computed, not measured: a relaxed Tb2Sm4Tl3O2 crystal at the PBE level of DFT.

Results
As for the density of states at the Fermi level: 6.54 states/eV/f.u. As for the raw total energy: -58.5 eV per cell.

a = 4.789 Å, b = 4.789 Å, c = 13.030 Å
α = 100.59°, β = 100.59°, γ = 90.00°
Positions (direct):
Sm (0.914, 0.414, 0.828)
Sm (0.586, 0.086, 0.172)
Sm (0.414, 0.914, 0.828)
Sm (0.086, 0.586, 0.172)
Tl (0.177, 0.177, 0.355)
Tl (0.823, 0.823, 0.645)
Tl (0.000, 0.000, 0.000)
O (0.605, 0.605, 0.210)
O (0.395, 0.395, 0.790)
Tb (0.303, 0.303, 0.606)
Tb (0.697, 0.697, 0.394)

# 19
Computed, not measured: a relaxed In2Pd2Cl crystal at the PBE level of DFT.

Results
As for the density of states at the Fermi level: 1.34 states/eV/f.u. The energy above the most stable polymorph in this dataset comes out at 0.061 eV/atom.

a = 4.021 Å, b = 4.021 Å, c = 7.346 Å
α = 74.11°, β = 74.11°, γ = 90.00°
Positions (direct):
Pd (0.250, 0.750, 0.500)
Pd (0.750, 0.250, 0.500)
In (0.608, 0.608, 0.783)
In (0.392, 0.392, 0.217)
Cl (0.000, 0.000, 0.000)

# 20
Computed, not measured: a relaxed Mg2SbOs crystal at the PBE level of DFT.

Results
As for the density of states at the Fermi level: 1.79 states/eV/f.u. As for the raw total energy: -17.9 eV per cell.

a = 4.317 Å, b = 3.370 Å, c = 5.675 Å
α = 72.59°, β = 90.00°, γ = 90.00°
Positions (direct):
Mg (0.000, 0.952, 0.969)
Mg (0.500, 0.289, 0.297)
Os (0.000, 0.696, 0.483)
Sb (0.500, 0.563, 0.750)